Here is an optimized crystal structure of LaBi2C2 from Alexandria. Energies are from PBE.

## Properties
The energy above the most stable polymorph in this dataset is 0.000 eV per atom. As for the formation energy: 37.73 kJ per mole of atoms. The value obtained for the magnetization is 0.000 μB/atom. Its electronic total energy is -5.836 eV/atom. The calculation puts the volume at 110.9 Å³/cell. The mass density comes out at 8.70 Mg/m³. Its space-group type is I4/mmm (139).

Unit cell a=6.553 b=6.553 c=6.553 alpha=140.94 beta=140.94 gamma=56.43
Fractional positions:
La  0.000  0.000  0.000
Bi  0.250  0.750  0.500
Bi  0.750  0.250  0.500
C  0.444  0.444  0.000
C  0.556  0.556  0.000